Density functional theory data (PBE) for a relaxed structure of Cs2K2Au.

Cell: 7.212 7.212 6.784 Å, 90.00 90.00 90.00°
Fractional coordinates of all 5 atoms:
Cs 0.000 0.500 0.000
Cs 0.500 0.000 0.000
K 0.000 0.000 0.500
K 0.500 0.500 0.500
Au 0.000 0.000 0.000

Calculated values
Energy above the most stable polymorph in this dataset ... 0 meV/atom
V ... 352.8 Å³/cell
E_form ... -0.13 eV/atom
Crystal system ... tetragonal
DOS at the Fermi energy ... 0.941 states/eV/atom